# 1
Density functional theory data (GGA-PBE) for ThSn2Au after structural relaxation.

The space group is R-3m (No. 166, hexagonal axes) and the conventional cell measures 5.5277, 5.5277 and 11.7972 Å, with angles of 90.00, 90.00 and 120.00 degrees. The inequivalent atoms are Th at (0.0000, 0.0000, 0.0000), Sn at (0.0000, 0.0000, 0.2655) and Au at (0.0000, 0.0000, 0.5000).

For the energy above the most stable polymorph in this dataset, the calculation gives 315 meV/atom. For the uncorrected energy, the calculation gives -58.39 eV for the cell shown. The formation energy from the elements comes out at -190 meV per atom. The total magnetization comes out at 0.0 μB per cell. The calculation puts the theoretical density at 10.63 g/cm3.

# 2
Density functional theory data (GGA-PBE) for Th8Sn2Au after structural relaxation.

The space group is C2/m (No. 12) and the conventional cell measures 18.2307, 5.0444 and 7.3448 Å, with angles of 90.00, 98.53 and 90.00 degrees. The inequivalent atoms are Th at (0.0318, 0.0000, 0.2612), Th at (0.0934, 0.5000, 0.9377), Th at (0.1744, 0.5000, 0.4268), Th at (0.2239, 0.0000, 0.1375), Sn at (0.1534, 0.0000, 0.6957) and Au at (0.0000, 0.5000, 0.5000).

For the uncorrected energy, the calculation gives -146.18 eV for the cell shown. The formation energy from the elements comes out at -223 meV per atom. The total magnetization comes out at 0.0 μB per cell. The calculation puts the theoretical density at 11.39 g/cm3.

# 3
Density functional theory data (GGA-PBE) for Th2SnAu after structural relaxation.

The space group is P2_1/m (No. 11) and the conventional cell measures 6.3458, 4.3246 and 8.8534 Å, with angles of 90.00, 110.81 and 90.00 degrees. The inequivalent atoms are Th at (0.2045, 0.2500, 0.4409), Th at (0.2150, 0.2500, 0.9117), Sn at (0.3301, 0.7500, 0.2075) and Au at (0.3466, 0.7500, 0.7098).

For the uncorrected energy, the calculation gives -48.90 eV for the cell shown. The formation energy from the elements comes out at -582 meV per atom. The total magnetization comes out at 0.0 μB per cell. The calculation puts the theoretical density at 11.40 g/cm3.

# 4
Density functional theory data (GGA-PBE) for ThSnAu2 after structural relaxation.

The space group is P4/mmm (No. 123) and the conventional cell measures 3.6660, 3.6660 and 7.1118 Å, with angles of 90.00, 90.00 and 90.00 degrees. The inequivalent atoms are Th at (0.0000, 0.0000, 0.0000), Sn at (0.0000, 0.0000, 0.5000) and Au at (0.5000, 0.5000, 0.2556).

For the uncorrected energy, the calculation gives -19.78 eV for the cell shown. The formation energy from the elements comes out at -452 meV per atom. The total magnetization comes out at 0.1 μB per cell. The calculation puts the theoretical density at 12.94 g/cm3.

# 5
Density functional theory data (GGA-PBE) for ThSnAu2 after structural relaxation.

The space group is P4/mmm (No. 123) and the conventional cell measures 4.6674, 4.6674 and 4.3680 Å, with angles of 90.00, 90.00 and 90.00 degrees. The inequivalent atoms are Th at (0.0000, 0.0000, 0.0000), Sn at (0.5000, 0.5000, 0.0000) and Au at (0.0000, 0.5000, 0.5000).

For the uncorrected energy, the calculation gives -19.88 eV for the cell shown. The formation energy from the elements comes out at -474 meV per atom. The total magnetization comes out at 0.0 μB per cell. The calculation puts the theoretical density at 13.00 g/cm3.

# 6
Density functional theory data (GGA-PBE) for TmThSnAu after structural relaxation.

The space group is F-43m (No. 216) and the conventional cell measures 7.4679, 7.4679 and 7.4679 Å, with angles of 90.00, 90.00 and 90.00 degrees. The inequivalent atoms are Tm at (0.0000, 0.0000, 0.0000), Th at (0.0000, 0.0000, 0.5000), Sn at (0.2500, 0.2500, 0.2500) and Au at (0.2500, 0.2500, 0.7500).

For the uncorrected energy, the calculation gives -85.53 eV for the cell shown. The formation energy from the elements comes out at -553 meV per atom. The total magnetization comes out at 0.7 μB per cell. The calculation puts the theoretical density at 11.43 g/cm3.

# 7
Density functional theory data (GGA-PBE) for YThSnAu after structural relaxation.

The space group is F-43m (No. 216) and the conventional cell measures 7.5136, 7.5136 and 7.5136 Å, with angles of 90.00, 90.00 and 90.00 degrees. The inequivalent atoms are Y at (0.0000, 0.0000, 0.0000), Th at (0.0000, 0.0000, 0.5000), Sn at (0.2500, 0.2500, 0.2500) and Au at (0.2500, 0.2500, 0.7500).

For the uncorrected energy, the calculation gives -93.97 eV for the cell shown. The formation energy from the elements comes out at -582 meV per atom. The total magnetization comes out at 0.0 μB per cell. The calculation puts the theoretical density at 9.97 g/cm3.

# 8
Density functional theory data (GGA-PBE) for ThZnSnAu after structural relaxation.

The space group is F-43m (No. 216) and the conventional cell measures 7.1499, 7.1499 and 7.1499 Å, with angles of 90.00, 90.00 and 90.00 degrees. The inequivalent atoms are Th at (0.0000, 0.0000, 0.0000), Zn at (0.2500, 0.2500, 0.2500), Sn at (0.0000, 0.0000, 0.5000) and Au at (0.2500, 0.2500, 0.7500).

For the uncorrected energy, the calculation gives -70.40 eV for the cell shown. The formation energy from the elements comes out at -406 meV per atom. The total magnetization comes out at 0.0 μB per cell. The calculation puts the theoretical density at 11.14 g/cm3.

# 9
Density functional theory data (GGA-PBE) for Ti12Sn3Au after structural relaxation.

The space group is Pmmm (No. 47) and the conventional cell measures 5.1959, 5.2121 and 10.3887 Å, with angles of 90.00, 90.00 and 90.00 degrees. The inequivalent atoms are Ti at (0.0000, 0.0000, 0.1201), Ti at (0.0000, 0.0000, 0.3724), Ti at (0.2497, 0.5000, 0.5000), Ti at (0.2564, 0.5000, 0.0000), Ti at (0.5000, 0.2468, 0.2442), Sn at (0.0000, 0.5000, 0.2500), Sn at (0.5000, 0.0000, 0.5000) and Au at (0.5000, 0.0000, 0.0000).

For the uncorrected energy, the calculation gives -114.99 eV for the cell shown. The formation energy from the elements comes out at -311 meV per atom. The total magnetization comes out at 0.0 μB per cell. The calculation puts the theoretical density at 6.65 g/cm3.

# 10
Density functional theory data (GGA-PBE) for Ti2SnAu after structural relaxation.

The space group is I-42d (No. 122) and the conventional cell measures 7.4506, 7.4506 and 5.7328 Å, with angles of 90.00, 90.00 and 90.00 degrees. The inequivalent atoms are Ti at (0.2323, 0.2500, 0.1250), Sn at (0.0000, 0.0000, 0.5000) and Au at (0.0000, 0.0000, 0.0000).

For the uncorrected energy, the calculation gives -92.76 eV for the cell shown. The formation energy from the elements comes out at -30 meV per atom. The total magnetization comes out at 0.0 μB per cell. The calculation puts the theoretical density at 8.59 g/cm3.

# 11
Density functional theory data (GGA-PBE) for Ti3SnAu after structural relaxation.

The space group is Cmcm (No. 63) and the conventional cell measures 5.1521, 14.5541 and 5.0954 Å, with angles of 90.00, 90.00 and 90.00 degrees. The inequivalent atoms are Ti at (0.0000, 0.0000, 0.0000), Ti at (0.2473, 0.1471, 0.2500), Sn at (0.0000, 0.1760, 0.7500) and Au at (0.0000, 0.4499, 0.2500).

For the energy above the most stable polymorph in this dataset, the calculation gives 74 meV/atom. For the uncorrected energy, the calculation gives -125.08 eV for the cell shown. The formation energy from the elements comes out at -61 meV per atom. The total magnetization comes out at 0.0 μB per cell. The calculation puts the theoretical density at 7.98 g/cm3.

# 12
Density functional theory data (GGA-PBE) for TiSn2Au2 after structural relaxation.

The space group is P4/mbm (No. 127) and the conventional cell measures 7.2900, 7.2900 and 4.0305 Å, with angles of 90.00, 90.00 and 90.00 degrees. The inequivalent atoms are Ti at (0.0000, 0.0000, 0.0000), Sn at (0.1756, 0.3244, 0.5000) and Au at (0.1350, 0.6350, 0.0000).

For the energy above the most stable polymorph in this dataset, the calculation gives 0 meV/atom. For the uncorrected energy, the calculation gives -45.29 eV for the cell shown. The formation energy from the elements comes out at -38 meV per atom. The total magnetization comes out at 0.0 μB per cell. The calculation puts the theoretical density at 10.53 g/cm3.

# 13
Density functional theory data (GGA-PBE) for TiSnAu after structural relaxation.

The space group is P6/mmm (No. 191) and the conventional cell measures 4.8718, 4.8718 and 5.6203 Å, with angles of 90.00, 90.00 and 120.00 degrees. The inequivalent atoms are Ti at (0.0000, 0.0000, 0.2481), Sn at (0.3333, 0.6667, 0.5000) and Au at (0.3333, 0.6667, 0.0000).

For the uncorrected energy, the calculation gives -31.13 eV for the cell shown. The formation energy from the elements comes out at -130 meV per atom. The total magnetization comes out at 0.5 μB per cell. The calculation puts the theoretical density at 10.45 g/cm3.

# 14
Density functional theory data (GGA-PBE) for TiSn2Au2 after structural relaxation.

The space group is P4/mbm (No. 127) and the conventional cell measures 7.7754, 7.7754 and 3.5191 Å, with angles of 90.00, 90.00 and 90.00 degrees. The inequivalent atoms are Ti at (0.0000, 0.0000, 0.0000), Sn at (0.1570, 0.3430, 0.0000) and Au at (0.1452, 0.6452, 0.5000).

For the energy above the most stable polymorph in this dataset, the calculation gives 79 meV/atom. For the uncorrected energy, the calculation gives -44.50 eV for the cell shown. The formation energy from the elements comes out at 41 meV per atom. The total magnetization comes out at 0.0 μB per cell. The calculation puts the theoretical density at 10.60 g/cm3.

# 15
Density functional theory data (GGA-PBE) for TiSnAu after structural relaxation.

The space group is C2/m (No. 12) and the conventional cell measures 8.6131, 3.0367 and 9.9974 Å, with angles of 90.00, 90.42 and 90.00 degrees. The inequivalent atoms are Ti at (0.1598, 0.0000, 0.4168), Sn at (0.1450, 0.0000, 0.1086) and Au at (0.1183, 0.0000, 0.7058).

For the uncorrected energy, the calculation gives -60.69 eV for the cell shown. The formation energy from the elements comes out at 1 meV per atom. The total magnetization comes out at 0.0 μB per cell. The calculation puts the theoretical density at 9.23 g/cm3.

# 16
Density functional theory data (GGA-PBE) for TiSnAu2 after structural relaxation.

The space group is P4/mmm (No. 123) and the conventional cell measures 4.1554, 4.1554 and 4.3291 Å, with angles of 90.00, 90.00 and 90.00 degrees. The inequivalent atoms are Ti at (0.0000, 0.0000, 0.0000), Sn at (0.5000, 0.5000, 0.0000) and Au at (0.0000, 0.5000, 0.5000).

For the uncorrected energy, the calculation gives -19.47 eV for the cell shown. The formation energy from the elements comes out at -254 meV per atom. The total magnetization comes out at 0.0 μB per cell. The calculation puts the theoretical density at 12.45 g/cm3.

# 17
Density functional theory data (GGA-PBE) for Ti7Sn2Au2 after structural relaxation.

The space group is C2/m (No. 12) and the conventional cell measures 6.9499, 8.5788 and 7.0350 Å, with angles of 90.00, 104.46 and 90.00 degrees. The inequivalent atoms are Ti at (0.0000, 0.0000, 0.0000), Ti at (0.1288, 0.0000, 0.3895), Ti at (0.2170, 0.3090, 0.1750), Sn at (0.0000, 0.3007, 0.5000) and Au at (0.1066, 0.5000, 0.8459).

For the uncorrected energy, the calculation gives -143.58 eV for the cell shown. The formation energy from the elements comes out at -179 meV per atom. The total magnetization comes out at 0.3 μB per cell. The calculation puts the theoretical density at 7.90 g/cm3.

# 18
Density functional theory data (GGA-PBE) for Ti2SnAu after structural relaxation.

The space group is P4/mmm (No. 123) and the conventional cell measures 4.1295, 4.1295 and 4.2133 Å, with angles of 90.00, 90.00 and 90.00 degrees. The inequivalent atoms are Ti at (0.0000, 0.5000, 0.0000), Sn at (0.0000, 0.0000, 0.5000) and Au at (0.5000, 0.5000, 0.5000).

For the uncorrected energy, the calculation gives -24.55 eV for the cell shown. The formation energy from the elements comes out at -369 meV per atom. The total magnetization comes out at 0.0 μB per cell. The calculation puts the theoretical density at 9.51 g/cm3.

# 19
Density functional theory data (GGA-PBE) for TiSnAu2 after structural relaxation.

The space group is R-3m (No. 166, hexagonal axes) and the conventional cell measures 3.3398, 3.3398 and 25.6116 Å, with angles of 90.00, 90.00 and 120.00 degrees. The inequivalent atoms are Ti at (0.0000, 0.0000, 0.0000), Sn at (0.0000, 0.0000, 0.5000) and Au at (0.0000, 0.0000, 0.2593).

For the uncorrected energy, the calculation gives -56.79 eV for the cell shown. The formation energy from the elements comes out at -120 meV per atom. The total magnetization comes out at 1.1 μB per cell. The calculation puts the theoretical density at 11.29 g/cm3.

# 20
Density functional theory data (GGA-PBE) for TiSnAu2 after structural relaxation.

The space group is R3m (No. 160, hexagonal axes) and the conventional cell measures 3.4260, 3.4260 and 24.6877 Å, with angles of 90.00, 90.00 and 120.00 degrees. The inequivalent atoms are Ti at (0.0000, 0.0000, 0.0000), Sn at (0.0000, 0.0000, 0.8336), Au at (0.0000, 0.0000, 0.4072) and Au at (0.0000, 0.0000, 0.5929).

For the uncorrected energy, the calculation gives -56.77 eV for the cell shown. The formation energy from the elements comes out at -118 meV per atom. The total magnetization comes out at 0.0 μB per cell. The calculation puts the theoretical density at 11.13 g/cm3.